# Pm2Nd6TmTh, optimized geometry, DFT GGA-PBE
# * crystal system: monoclinic
# * electronic total energy: -4.86 eV/atom
# * E_form: 0.144 eV per atom
data_Pm2Nd6TmTh
_chemical_formula_sum 'Pm8 Nd24 Tm4 Th4'
_cell_length_a 9.306
_cell_length_b 15.129
_cell_length_c 9.941
_cell_angle_alpha 90.00
_cell_angle_beta 99.24
_cell_angle_gamma 90.00
_space_group_name_H-M_alt 'C 1 2/c 1'
_space_group_IT_number 15
_space_group_name_Hall '-C 2yc'
loop_
_atom_site_label
_atom_site_type_symbol
_atom_site_fract_x
_atom_site_fract_y
_atom_site_fract_z
_atom_site_occupancy
Pm1 Pm 0.242 0.046 0.047 1
Nd1 Nd 0.069 0.182 0.444 1
Nd2 Nd 0.097 0.396 0.619 1
Nd3 Nd 0.206 0.217 0.811 1
Tm1 Tm 0.000 0.407 0.250 1
Th1 Th 0.000 0.020 0.750 1


# PmNdTmTh, optimized geometry, DFT GGA-PBE
# * crystal system: cubic
# * electronic total energy: -5.19 eV/atom
# * E_form: 0.160 eV per atom
data_PmNdTmTh
_chemical_formula_sum 'Pm4 Nd4 Tm4 Th4'
_cell_length_a 8.089
_cell_length_b 8.089
_cell_length_c 8.089
_cell_angle_alpha 90.00
_cell_angle_beta 90.00
_cell_angle_gamma 90.00
_space_group_name_H-M_alt 'F -4 3 m'
_space_group_IT_number 216
_space_group_name_Hall 'F -4 2 3'
loop_
_atom_site_label
_atom_site_type_symbol
_atom_site_fract_x
_atom_site_fract_y
_atom_site_fract_z
_atom_site_occupancy
Pm1 Pm 0.000 0.000 0.000 1
Nd1 Nd 0.250 0.250 0.250 1
Tm1 Tm 0.000 0.000 0.500 1
Th1 Th 0.250 0.250 0.750 1


# Pm4NdTm2Th, optimized geometry, DFT GGA-PBE
# * crystal system: monoclinic
# * electronic total energy: -5.00 eV/atom
# * E_form: 0.018 eV per atom
data_Pm4NdTm2Th
_chemical_formula_sum 'Pm4 Nd1 Tm2 Th1'
_cell_length_a 5.055
_cell_length_b 5.103
_cell_length_c 10.282
_cell_angle_alpha 90.00
_cell_angle_beta 90.01
_cell_angle_gamma 90.00
_space_group_name_H-M_alt 'P 1 2/m 1'
_space_group_IT_number 10
_space_group_name_Hall '-P 2y'
loop_
_atom_site_label
_atom_site_type_symbol
_atom_site_fract_x
_atom_site_fract_y
_atom_site_fract_z
_atom_site_occupancy
Pm1 Pm 0.001 0.000 0.247 1
Pm2 Pm 0.498 0.500 0.755 1
Nd1 Nd 0.000 0.500 0.500 1
Tm1 Tm 0.000 0.500 0.000 1
Tm2 Tm 0.500 0.000 0.500 1
Th1 Th 0.500 0.000 0.000 1


# Pm2NdTm2Th2, optimized geometry, DFT GGA-PBE
# * crystal system: monoclinic
# * electronic total energy: -5.09 eV/atom
# * E_form: 0.349 eV per atom
data_Pm2NdTm2Th2
_chemical_formula_sum 'Pm4 Nd2 Tm4 Th4'
_cell_length_a 15.863
_cell_length_b 3.478
_cell_length_c 8.797
_cell_angle_alpha 90.00
_cell_angle_beta 93.50
_cell_angle_gamma 90.00
_space_group_name_H-M_alt 'C 1 2/m 1'
_space_group_IT_number 12
_space_group_name_Hall '-C 2y'
loop_
_atom_site_label
_atom_site_type_symbol
_atom_site_fract_x
_atom_site_fract_y
_atom_site_fract_z
_atom_site_occupancy
Pm1 Pm 0.183 0.000 0.166 1
Nd1 Nd 0.000 0.500 0.500 1
Tm1 Tm 0.181 0.000 0.577 1
Th1 Th 0.046 0.000 0.841 1


# Pm6Nd2TmTh, optimized geometry, DFT GGA-PBE
# * crystal system: monoclinic
# * electronic total energy: -4.85 eV/atom
# * E_form: 0.145 eV per atom
data_Pm6Nd2TmTh
_chemical_formula_sum 'Pm24 Nd8 Tm4 Th4'
_cell_length_a 9.260
_cell_length_b 15.082
_cell_length_c 9.922
_cell_angle_alpha 90.00
_cell_angle_beta 99.20
_cell_angle_gamma 90.00
_space_group_name_H-M_alt 'C 1 2/c 1'
_space_group_IT_number 15
_space_group_name_Hall '-C 2yc'
loop_
_atom_site_label
_atom_site_type_symbol
_atom_site_fract_x
_atom_site_fract_y
_atom_site_fract_z
_atom_site_occupancy
Pm1 Pm 0.070 0.183 0.444 1
Pm2 Pm 0.097 0.396 0.620 1
Pm3 Pm 0.204 0.218 0.811 1
Nd1 Nd 0.243 0.046 0.046 1
Tm1 Tm 0.000 0.407 0.250 1
Th1 Th 0.000 0.019 0.750 1


# PmNdTmTh, optimized geometry, DFT GGA-PBE
# * crystal system: trigonal
# * electronic total energy: -5.33 eV/atom
# * E_form: 0.020 eV per atom
data_PmNdTmTh
_chemical_formula_sum 'Pm3 Nd3 Tm3 Th3'
_cell_length_a 3.6121
_cell_length_b 3.6121
_cell_length_c 34.9764
_cell_angle_alpha 90.00
_cell_angle_beta 90.00
_cell_angle_gamma 120.00
_space_group_name_H-M_alt 'R 3 m'
_space_group_IT_number 160
_space_group_name_Hall 'R 3 -2"'
loop_
_atom_site_label
_atom_site_type_symbol
_atom_site_fract_x
_atom_site_fract_y
_atom_site_fract_z
_atom_site_occupancy
Pm1 Pm 0.0000 0.0000 0.0000 1
Nd1 Nd 0.0000 0.0000 0.2453 1
Tm1 Tm 0.0000 0.0000 0.4164 1
Th1 Th 0.0000 0.0000 0.8296 1


# Pm6NdTmTh2, optimized geometry, DFT GGA-PBE
# * crystal system: monoclinic
# * electronic total energy: -5.10 eV/atom
# * E_form: 0.155 eV per atom
data_Pm6NdTmTh2
_chemical_formula_sum 'Pm24 Nd4 Tm4 Th8'
_cell_length_a 9.078
_cell_length_b 15.050
_cell_length_c 10.212
_cell_angle_alpha 90.00
_cell_angle_beta 101.92
_cell_angle_gamma 90.00
_space_group_name_H-M_alt 'C 1 2/c 1'
_space_group_IT_number 15
_space_group_name_Hall '-C 2yc'
loop_
_atom_site_label
_atom_site_type_symbol
_atom_site_fract_x
_atom_site_fract_y
_atom_site_fract_z
_atom_site_occupancy
Pm1 Pm 0.076 0.185 0.450 1
Pm2 Pm 0.090 0.399 0.616 1
Pm3 Pm 0.210 0.224 0.822 1
Nd1 Nd 0.000 0.010 0.750 1
Tm1 Tm 0.000 0.406 0.250 1
Th1 Th 0.230 0.046 0.042 1


# Pm2NdTmTh, optimized geometry, DFT GGA-PBE
# * crystal system: monoclinic
# * electronic total energy: -4.92 eV/atom
# * E_form: 0.317 eV per atom
data_Pm2NdTmTh
_chemical_formula_sum 'Pm4 Nd2 Tm2 Th2'
_cell_length_a 8.640
_cell_length_b 6.429
_cell_length_c 6.388
_cell_angle_alpha 90.00
_cell_angle_beta 97.46
_cell_angle_gamma 90.00
_space_group_name_H-M_alt 'P 1 2/c 1'
_space_group_IT_number 13
_space_group_name_Hall '-P 2yc'
loop_
_atom_site_label
_atom_site_type_symbol
_atom_site_fract_x
_atom_site_fract_y
_atom_site_fract_z
_atom_site_occupancy
Pm1 Pm 0.185 0.192 0.291 1
Nd1 Nd 0.500 0.500 0.000 1
Tm1 Tm 0.000 0.326 0.750 1
Th1 Th 0.500 0.047 0.750 1


Q: Among the records above, which one has the lowest electronic total energy?
A: number 6


Q: Number 6 is which compound?
A: PmNdTmTh


Q: E_form of number 3 (Pm4NdTm2Th)?
A: 0.018 eV per atom


Q: Number 6 is which compound?
A: PmNdTmTh